# 1
The following is a DFT calculation (GGA-PBE) of a relaxed CsIn2IF2 crystal.

```
data_CsIn2IF2
_chemical_formula_sum 'Cs2 In4 I2 F4'
_space_group_name_H-M_alt 'P 1'
_space_group_IT_number 1
_cell_length_a 6.6597
_cell_length_b 6.5950
_cell_length_c 10.0592
_cell_angle_alpha 96.17
_cell_angle_beta 90.00
_cell_angle_gamma 90.00
loop_
_space_group_symop_operation_xyz
'x,y,z'
loop_
_atom_site_label
_atom_site_type_symbol
_atom_site_fract_x
_atom_site_fract_y
_atom_site_fract_z
_atom_site_occupancy
Cs1 Cs 0.7500 0.2687 0.6125 1
Cs2 Cs 0.2500 0.7313 0.3875 1
In1 In 0.5064 0.1816 0.1642 1
In2 In 0.9936 0.1816 0.1642 1
In3 In 0.0064 0.8184 0.8358 1
In4 In 0.4936 0.8184 0.8358 1
I1 I 0.2500 0.3759 0.8320 1
I2 I 0.7500 0.6241 0.1680 1
F1 F 0.2500 0.2838 0.3229 1
F2 F 0.2500 0.8332 0.6653 1
F3 F 0.7500 0.7162 0.6771 1
F4 F 0.7500 0.1668 0.3347 1
```



# 2
The following is a DFT calculation (GGA-PBE) of a relaxed CsK2IF8 crystal.

```
data_CsK2IF8
_chemical_formula_sum 'Cs1 K2 I1 F8'
_space_group_name_H-M_alt 'P 1'
_space_group_IT_number 1
_cell_length_a 6.0601
_cell_length_b 6.0601
_cell_length_c 7.6041
_cell_angle_alpha 113.48
_cell_angle_beta 113.48
_cell_angle_gamma 90.00
loop_
_space_group_symop_operation_xyz
'x,y,z'
loop_
_atom_site_label
_atom_site_type_symbol
_atom_site_fract_x
_atom_site_fract_y
_atom_site_fract_z
_atom_site_occupancy
Cs1 Cs 0.5000 0.5000 0.0000 1
K1 K 0.7500 0.2500 0.5000 1
K2 K 0.0000 0.0000 0.0000 1
I1 I 0.2500 0.7500 0.5000 1
F1 F 0.1393 0.6471 0.6973 1
F2 F 0.5580 0.6471 0.6973 1
F3 F 0.3529 0.4420 0.3027 1
F4 F 0.9498 0.8607 0.3027 1
F5 F 0.5580 0.0502 0.6973 1
F6 F 0.3529 0.8607 0.3027 1
F7 F 0.1393 0.0502 0.6973 1
F8 F 0.9498 0.4420 0.3027 1
```



no.,formation energy from raw total energies (eV/f.u.),volume (Å³ per cell)
1,-9.4,439.2
2,-26.3,230.7